(1)
A relaxed structure of TbPaNiS4, computed with PBE-GGA.

POSCAR file:
```
TbPaNiS4
1.0
-2.6936 -5.6563 -0.4305
3.2833 -1.9115 4.5727
-4.2709 4.0426 4.7565
Pa S Tb Ni
2 8 2 2
Direct
0.2427 0.2500 0.5576
0.7573 0.7500 0.4424
0.5637 0.2500 0.3847
0.4363 0.7500 0.6153
0.5666 0.2500 0.8799
0.0164 0.9891 0.7496
0.9836 0.4891 0.2504
0.0164 0.5109 0.7496
0.4334 0.7500 0.1201
0.9836 0.0109 0.2504
0.7531 0.7500 0.9422
0.2469 0.2500 0.0578
0.7605 0.2500 0.6695
0.2395 0.7500 0.3305
```

Uncorrected formation energy: -142.1 kJ/mol of atoms
Fermi-level density of states: 2.170 states/eV/f.u.
Raw total energy: -0.2453 hartree per atom

=====

(2)
A relaxed structure of Pa2NiTeS4, computed with PBE-GGA.

POSCAR file:
```
Pa2NiTeS4
1.0
-0.4038 -2.6053 2.8762
0.4230 -5.3430 -2.1339
8.3999 -2.2867 1.7543
S Ni Pa Te
4 1 2 1
Direct
0.6150 0.7012 0.0687
0.8400 0.0621 0.2579
0.1600 0.9379 0.7421
0.3850 0.2988 0.9313
0.0000 0.0000 0.0000
0.1820 0.4114 0.2246
0.8180 0.5886 0.7754
0.5000 0.5000 0.5000
```

Uncorrected formation energy: -107.8 kJ/mol of atoms
Fermi-level density of states: 5.557 states/eV/f.u.
Raw total energy: -0.2451 hartree per atom

=====

(3)
A relaxed structure of Pa4TlNi3S12, computed with PBE-GGA.

POSCAR file:
```
Pa4TlNi3S12
1.0
-5.8775 -4.8183 -3.5184
7.5293 -2.1770 -2.9513
-0.1474 -1.0354 8.3094
Tl Ni Pa S
1 3 4 12
Direct
0.0000 0.0000 0.0000
0.5000 0.0000 0.5000
0.5000 0.5000 0.0000
0.0000 0.5000 0.5000
0.5000 0.0000 0.0000
0.5000 0.5000 0.5000
0.0000 0.5000 0.0000
0.0000 0.0000 0.5000
0.6738 0.1618 0.8355
0.1618 0.8355 0.6738
0.6738 0.8382 0.5120
0.3262 0.8382 0.1645
0.1618 0.4880 0.3262
0.3262 0.1618 0.4880
0.8382 0.5120 0.6738
0.8355 0.6738 0.1618
0.4880 0.3262 0.1618
0.5120 0.6738 0.8382
0.8382 0.1645 0.3262
0.1645 0.3262 0.8382
```

Uncorrected formation energy: -99.2 kJ/mol of atoms
Fermi-level density of states: 0.919 states/eV/f.u.
Raw total energy: -0.2348 hartree per atom

=====

(4)
A relaxed structure of PaTlNi2S4, computed with PBE-GGA.

POSCAR file:
```
PaTlNi2S4
1.0
6.4359 0.0000 0.0000
3.2180 4.7400 -0.0725
3.2180 0.3162 4.7300
Pa S Ni Tl
1 4 2 1
Direct
0.5000 0.5000 0.5000
0.9971 0.5021 0.0026
0.5018 0.4979 0.9974
0.0029 0.9974 0.4979
0.4982 0.0026 0.5021
0.2206 0.2794 0.2794
0.7794 0.7206 0.7206
0.0000 0.0000 0.0000
```

Uncorrected formation energy: -58.0 kJ/mol of atoms
Fermi-level density of states: 3.871 states/eV/f.u.
Raw total energy: -0.2056 hartree per atom

=====

| no. | ρ (g/cm3) |
| --- | --- |
| 1 | 7.07 |
| 2 | 7.14 |
| 3 | 6.20 |
| 4 | 7.83 |